A relaxed PaAg2AuO6 crystal. Source: Alexandria via LeMat-Bulk, functional PBE.

Output
Total magnetization: 0.000 μB per formula unit
Final energy: -5.965 eV/atom
Density: 9.00 g cm⁻³
Formation energy (no corrections): -1103 kJ/mol of formula units

```
data_PaAg2AuO6
_chemical_formula_sum 'Pa3 Ag6 Au3 O18'
_space_group_name_H-M_alt 'R -3'
_space_group_IT_number 148
_space_group_name_Hall '-R 3'
_cell_length_a 5.7142
_cell_length_b 5.7142
_cell_length_c 14.4837
_cell_angle_alpha 90.00
_cell_angle_beta 90.00
_cell_angle_gamma 120.00
loop_
_atom_site_label
_atom_site_fract_x
_atom_site_fract_y
_atom_site_fract_z
_atom_site_occupancy
Pa1 0.0000 0.0000 0.0000 1
Ag1 0.0000 0.0000 0.2511 1
Au1 0.0000 0.0000 0.5000 1
O1 0.0102 0.5979 0.2470 1
```

---

A relaxed AgPbAuO4 crystal. Source: Alexandria via LeMat-Bulk, functional PBE.

Output
Total magnetization: 0.000 μB per formula unit
Final energy: -4.588 eV/atom
Density: 8.48 g cm⁻³
Formation energy (no corrections): -236 kJ/mol of formula units

```
data_AgPbAuO4
_chemical_formula_sum 'Ag4 Pb4 Au4 O16'
_space_group_name_H-M_alt 'I m m a'
_space_group_IT_number 74
_space_group_name_Hall '-I 2b 2'
_cell_length_a 6.175
_cell_length_b 6.571
_cell_length_c 11.122
_cell_angle_alpha 90.00
_cell_angle_beta 90.00
_cell_angle_gamma 90.00
loop_
_atom_site_label
_atom_site_fract_x
_atom_site_fract_y
_atom_site_fract_z
_atom_site_occupancy
Ag1 0.000 0.250 0.159 1
Pb1 0.000 0.000 0.500 1
Au1 0.250 0.250 0.750 1
O1 0.000 0.049 0.716 1
O2 0.232 0.250 0.483 1
```